This record from Alexandria via LeMat-Bulk describes a geometry-optimized Fe2OsBr2 structure. The functional is PBE.

- calculated volume (Å³ per cell) = 102
- E_form (uncorrected) (eV per formula unit) = 7.34
- electronic total energy (eV for the cell shown) = -24.16
- M_tot (μB per atom) = 1.95
- Fermi-level density of states (states/eV/cell) = 5.15

extended XYZ file:
```
5
Lattice="-2.265 2.265 4.961 2.265 -2.265 4.961 2.265 2.265 -4.961" Properties=species:S:1:pos:R:3 pbc="T T T"
Fe 2.265 0.000 2.481
Fe 0.000 2.265 2.481
Os 0.000 0.000 0.000
Br 0.000 0.000 3.482
Br 0.000 0.000 6.441
```


This record from Alexandria via LeMat-Bulk describes a geometry-optimized RbBaRe2 structure. The functional is PBE.

- calculated volume (Å³ per cell) = 233
- electronic total energy (eV for the cell shown) = -37.37
- M_tot (μB per atom) = 0.81
- Fermi-level density of states (states/eV/cell) = 11.00
- energy relative to the elements (eV/atom) = 2.28

extended XYZ file:
```
8
Lattice="-4.565 4.565 2.800 4.565 -4.565 2.800 4.565 4.565 -2.800" Properties=species:S:1:pos:R:3 pbc="T T T"
Rb 0.000 0.000 0.000
Rb 0.000 4.565 1.400
Ba 4.565 0.000 1.400
Ba 0.000 0.000 2.800
Re 2.283 2.294 -0.700
Re 6.836 2.283 0.700
Re 2.283 2.271 2.100
Re -2.271 2.283 3.500
```


This record from Alexandria via LeMat-Bulk describes a geometry-optimized Zr3Al structure. The functional is PBE.

- calculated volume (Å³ per cell) = 172
- electronic total energy (eV for the cell shown) = -60.49
- M_tot (μB per atom) = 0.00
- Fermi-level density of states (states/eV/cell) = 7.61
- energy relative to the elements (eV/atom) = -0.21

extended XYZ file:
```
8
Lattice="5.330 0.000 0.000 2.402 5.178 0.000 0.261 1.924 6.225" Properties=species:S:1:pos:R:3 pbc="T T T"
Zr 1.494 1.597 1.169
Zr 1.853 2.532 4.146
Zr 3.456 3.901 0.562
Zr 4.538 3.201 5.664
Zr 6.140 4.570 2.079
Zr 6.500 5.505 5.057
Al 3.542 4.883 3.449
Al 4.452 2.219 2.776
```


This record from Alexandria via LeMat-Bulk describes a geometry-optimized TcSbTe2Au structure. The functional is PBE.

- calculated volume (Å³ per cell) = 158
- E_form (uncorrected) (eV per formula unit) = 6.02
- electronic total energy (eV for the cell shown) = -18.03
- M_tot (μB per atom) = 0.80
- Fermi-level density of states (states/eV/cell) = 5.05

extended XYZ file:
```
5
Lattice="5.485 0.000 0.000 0.000 5.485 0.000 0.000 0.000 5.254" Properties=species:S:1:pos:R:3 pbc="T T T"
Tc 0.000 0.000 0.000
Sb 2.743 2.743 0.000
Te 0.000 2.743 2.627
Te 2.743 0.000 2.627
Au 2.743 2.743 2.627
```


This record from Alexandria via LeMat-Bulk describes a geometry-optimized LiMoOs2 structure. The functional is PBE.

- calculated volume (Å³ per cell) = 56
- electronic total energy (eV for the cell shown) = -34.25
- M_tot (μB per atom) = 0.00
- Fermi-level density of states (states/eV/cell) = 2.85
- energy relative to the elements (eV/atom) = 0.24

extended XYZ file:
```
4
Lattice="-1.526 2.136 4.289 1.526 -2.136 4.289 1.526 2.136 -4.289" Properties=species:S:1:pos:R:3 pbc="T T T"
Li 0.000 0.000 0.000
Mo 1.526 0.000 2.185
Os 0.000 0.000 4.306
Os 0.000 2.136 2.170
```


This record from Alexandria via LeMat-Bulk describes a geometry-optimized LiSnP2 structure. The functional is PBE.

- calculated volume (Å³ per cell) = 192
- electronic total energy (eV for the cell shown) = -33.48
- M_tot (μB per atom) = 0.00
- Fermi-level density of states (states/eV/cell) = 4.94
- energy relative to the elements (eV/atom) = 0.00

extended XYZ file:
```
8
Lattice="-2.997 2.997 5.358 2.997 -2.997 5.358 2.997 2.997 -5.358" Properties=species:S:1:pos:R:3 pbc="T T T"
Li 0.000 0.000 0.000
Li 0.000 2.997 2.679
Sn 2.997 0.000 2.679
Sn 0.000 0.000 5.358
P 4.495 1.459 -1.339
P 1.459 1.498 1.339
P -1.498 1.537 4.018
P 1.537 1.498 6.697
```


This record from Alexandria via LeMat-Bulk describes a geometry-optimized AlFePt4 structure. The functional is PBE.

- calculated volume (Å³ per cell) = 101
- electronic total energy (eV for the cell shown) = -36.11
- M_tot (μB per atom) = 0.64
- Fermi-level density of states (states/eV/cell) = 7.67
- energy relative to the elements (eV/atom) = 0.04

extended XYZ file:
```
6
Lattice="0.000 3.701 3.701 3.701 0.000 3.701 3.701 3.701 0.000" Properties=species:S:1:pos:R:3 pbc="T T T"
Al 0.000 0.000 0.000
Fe 5.552 5.552 5.552
Pt 2.777 2.777 2.777
Pt 4.626 4.626 2.777
Pt 4.626 2.777 4.626
Pt 2.777 4.626 4.626
```


This record from Alexandria via LeMat-Bulk describes a geometry-optimized LaYSc2 structure. The functional is PBE.

- calculated volume (Å³ per cell) = 116
- electronic total energy (eV for the cell shown) = -23.75
- M_tot (μB per atom) = 0.00
- Fermi-level density of states (states/eV/cell) = 5.33
- energy relative to the elements (eV/atom) = 0.08

extended XYZ file:
```
4
Lattice="5.652 -1.739 0.000 5.652 1.739 0.000 -1.066 0.000 5.896" Properties=species:S:1:pos:R:3 pbc="T T T"
La 0.000 0.000 0.000
Y 5.119 0.000 2.948
Sc 2.030 0.000 4.422
Sc 8.208 0.000 1.474
```


This record from Alexandria via LeMat-Bulk describes a geometry-optimized YBeCu3 structure. The functional is PBE.

- calculated volume (Å³ per cell) = 77
- electronic total energy (eV for the cell shown) = -22.70
- M_tot (μB per atom) = 0.00
- Fermi-level density of states (states/eV/cell) = 2.48
- energy relative to the elements (eV/atom) = -0.04

extended XYZ file:
```
5
Lattice="4.246 0.000 0.000 0.000 4.246 0.000 0.000 0.000 4.246" Properties=species:S:1:pos:R:3 pbc="T T T"
Y 0.000 0.000 0.000
Be 2.123 2.123 2.123
Cu 0.000 2.123 2.123
Cu 2.123 0.000 2.123
Cu 2.123 2.123 0.000
```


This record from Alexandria via LeMat-Bulk describes a geometry-optimized Ti7NbPt2 structure. The functional is PBE.

- calculated volume (Å³ per cell) = 190
- electronic total energy (eV for the cell shown) = -69.48
- M_tot (μB per atom) = 0.14
- Fermi-level density of states (states/eV/cell) = 16.84
- energy relative to the elements (eV/atom) = 0.79

extended XYZ file:
```
10
Lattice="0.000 4.565 4.565 4.565 0.000 4.565 4.565 4.565 0.000" Properties=species:S:1:pos:R:3 pbc="T T T"
Ti 0.000 0.000 0.000
Ti 4.565 4.565 2.233
Ti 4.565 2.233 4.565
Ti 6.897 4.565 4.565
Ti 2.233 4.565 4.565
Ti 4.565 6.897 4.565
Ti 4.565 4.565 6.897
Nb 4.565 4.565 4.565
Pt 2.283 2.283 2.283
Pt 6.848 6.848 6.848
```


This record from Alexandria via LeMat-Bulk describes a geometry-optimized BaScAu structure. The functional is PBE.

- calculated volume (Å³ per cell) = 102
- electronic total energy (eV for the cell shown) = -12.46
- M_tot (μB per atom) = 0.15
- Fermi-level density of states (states/eV/cell) = 5.32
- energy relative to the elements (eV/atom) = -0.31

extended XYZ file:
```
3
Lattice="4.679 0.000 0.000 -2.340 4.052 0.000 0.000 0.000 5.355" Properties=species:S:1:pos:R:3 pbc="T T T"
Ba 0.000 0.000 0.000
Sc 2.340 1.351 2.677
Au 0.000 2.702 2.691
```


This record from Alexandria via LeMat-Bulk describes a geometry-optimized KB5O8 structure. The functional is PBE.

- calculated volume (Å³ per cell) = 1453
- E_form (uncorrected) (eV per formula unit) = -34.12
- electronic total energy (eV for the cell shown) = -866.18
- M_tot (μB per atom) = 0.00
- Fermi-level density of states (states/eV/cell) = 0.00

extended XYZ file:
```
112
Lattice="8.570 0.000 0.000 0.000 11.974 0.000 0.000 0.000 14.162" Properties=species:S:1:pos:R:3 pbc="T T T"
K 1.224 2.182 1.569
K 1.224 3.806 8.649
K 3.060 8.169 1.569
K 3.060 9.793 8.649
K 5.509 2.182 5.512
K 5.509 3.806 12.593
K 7.345 8.169 5.512
K 7.345 9.793 12.593
B 0.038 0.164 5.031
B 0.038 5.823 12.111
B 0.416 2.597 5.369
B 0.416 3.391 12.449
B 0.442 1.407 10.957
B 0.442 4.580 3.876
B 0.739 7.233 8.217
B 0.739 10.728 1.136
B 1.834 0.865 6.434
B 1.834 5.122 13.515
B 2.451 6.852 6.434
B 2.451 11.109 13.515
B 3.546 1.246 8.217
B 3.546 4.741 1.136
B 3.842 7.395 10.957
B 3.842 10.567 3.876
B 3.869 8.584 5.369
B 3.869 9.378 12.449
B 4.247 6.151 5.031
B 4.247 11.811 12.111
B 4.323 0.164 2.050
B 4.323 5.823 9.131
B 4.701 2.597 1.712
B 4.701 3.391 8.793
B 4.727 1.407 10.286
B 4.727 4.580 3.205
B 5.023 7.233 13.026
B 5.023 10.728 5.945
B 6.119 0.865 0.646
B 6.119 5.122 7.727
B 6.735 6.852 0.646
B 6.735 11.109 7.727
B 7.831 1.246 13.026
B 7.831 4.741 5.945
B 8.127 7.395 10.286
B 8.127 10.567 3.205
B 8.154 8.584 1.712
B 8.154 9.378 8.793
B 8.532 6.151 2.050
B 8.532 11.811 9.131
O 0.284 6.610 9.376
O 0.284 11.352 2.295
O 0.390 7.428 2.195
O 0.390 10.534 9.275
O 0.456 8.528 7.942
O 0.456 9.434 0.862
O 0.659 0.903 9.696
O 0.659 5.084 2.615
O 0.886 2.653 11.257
O 0.886 3.334 4.176
O 1.155 6.152 12.873
O 1.155 11.810 5.792
O 1.497 6.441 7.363
O 1.497 11.520 0.282
O 1.548 2.167 6.207
O 1.548 3.820 13.288
O 2.737 8.155 6.207
O 2.737 9.807 13.288
O 2.788 0.454 7.363
O 2.788 5.533 0.282
O 3.130 0.165 12.873
O 3.130 5.823 5.792
O 3.399 8.641 11.257
O 3.399 9.321 4.176
O 3.626 6.891 9.696
O 3.626 11.071 2.615
O 3.829 2.541 7.942
O 3.829 3.447 0.862
O 3.894 1.441 2.195
O 3.894 4.547 9.275
O 4.000 0.623 9.376
O 4.000 5.364 2.295
O 4.569 6.610 11.867
O 4.569 11.352 4.786
O 4.675 7.428 4.886
O 4.675 10.534 11.967
O 4.741 8.528 13.300
O 4.741 9.434 6.219
O 4.943 0.903 11.546
O 4.943 5.084 4.465
O 5.171 2.653 9.985
O 5.171 3.334 2.905
O 5.439 6.152 8.369
O 5.439 11.810 1.289
O 5.781 6.441 13.880
O 5.781 11.520 6.799
O 5.832 2.167 0.874
O 5.832 3.820 7.955
O 7.022 8.155 0.874
O 7.022 9.807 7.955
O 7.073 0.454 13.880
O 7.073 5.533 6.799
O 7.415 0.165 8.369
O 7.415 5.823 1.289
O 7.683 8.641 9.985
O 7.683 9.321 2.905
O 7.911 6.891 11.546
O 7.911 11.071 4.465
O 8.114 2.541 13.300
O 8.114 3.447 6.219
O 8.179 1.441 4.886
O 8.179 4.547 11.967
O 8.285 0.623 11.867
O 8.285 5.364 4.786
```


This record from Alexandria via LeMat-Bulk describes a geometry-optimized Li4La3In4 structure. The functional is PBE.

- calculated volume (Å³ per cell) = 284
- electronic total energy (eV for the cell shown) = -37.26
- M_tot (μB per atom) = 0.03
- Fermi-level density of states (states/eV/cell) = 6.47
- energy relative to the elements (eV/atom) = -0.35

extended XYZ file:
```
11
Lattice="3.514 0.000 0.000 0.000 5.108 0.000 1.755 2.545 15.811" Properties=species:S:1:pos:R:3 pbc="T T T"
Li 0.878 1.273 4.958
Li 0.878 3.830 0.298
Li 4.391 3.823 15.513
Li 4.391 6.380 10.853
La 2.635 3.826 12.409
La 2.634 1.272 7.906
La 2.634 3.828 3.403
In 0.876 3.827 6.347
In 0.877 1.274 2.024
In 4.392 6.379 13.787
In 4.393 3.826 9.465
```


This record from Alexandria via LeMat-Bulk describes a geometry-optimized Nb3V8Os structure. The functional is PBE.

- calculated volume (Å³ per cell) = 178
- electronic total energy (eV for the cell shown) = -115.49
- M_tot (μB per atom) = 0.00
- Fermi-level density of states (states/eV/cell) = 5.47
- energy relative to the elements (eV/atom) = -0.09

extended XYZ file:
```
12
Lattice="2.509 1.448 8.158 -2.509 1.448 8.158 0.000 -2.897 8.158" Properties=species:S:1:pos:R:3 pbc="T T T"
Nb 0.000 0.000 0.000
Nb 0.000 0.000 3.075
Nb 0.000 0.000 12.264
V -1.259 -0.727 9.664
V 0.000 -1.450 5.659
V -1.256 0.725 5.659
V 0.000 0.000 7.649
V 1.259 -0.727 9.664
V 0.000 1.453 9.664
V 1.256 0.725 5.659
V 0.000 0.000 19.915
Os 0.000 0.000 15.309
```


This record from Alexandria via LeMat-Bulk describes a geometry-optimized Tm5InSb4 structure. The functional is PBE.

- calculated volume (Å³ per cell) = 289
- E_form (uncorrected) (eV per formula unit) = -8.32
- electronic total energy (eV for the cell shown) = -49.91
- M_tot (μB per atom) = 0.00
- Fermi-level density of states (states/eV/cell) = 5.97

extended XYZ file:
```
10
Lattice="-4.856 4.856 3.061 4.856 -4.856 3.061 4.856 4.856 -3.061" Properties=species:S:1:pos:R:3 pbc="T T T"
Tm 0.000 0.000 0.000
Tm 5.858 1.872 0.000
Tm 1.872 3.854 0.000
Tm 2.983 1.002 3.061
Tm -1.002 2.983 3.061
In 0.000 0.000 3.061
Sb 2.903 0.982 0.000
Sb 3.874 -1.952 3.061
Sb 0.982 6.808 0.000
Sb 1.952 3.874 3.061
```


This record from Alexandria via LeMat-Bulk describes a geometry-optimized GaRe structure. The functional is PBE.

- calculated volume (Å³ per cell) = 235
- electronic total energy (eV for the cell shown) = -90.95
- M_tot (μB per atom) = 0.00
- Fermi-level density of states (states/eV/cell) = 8.12
- energy relative to the elements (eV/atom) = 0.16

extended XYZ file:
```
12
Lattice="7.947 0.000 0.000 -3.974 6.882 0.000 0.000 0.000 4.294" Properties=species:S:1:pos:R:3 pbc="T T T"
Ga 0.000 2.823 1.074
Ga -1.529 5.471 1.074
Ga 2.445 1.412 3.221
Ga 1.529 5.471 1.074
Ga 5.502 1.412 3.221
Ga 3.974 4.059 3.221
Re -1.339 3.815 3.221
Re 1.339 3.815 3.221
Re 0.000 6.135 3.221
Re 3.974 0.748 1.074
Re 2.634 3.067 1.074
Re 5.313 3.067 1.074
```


This record from Alexandria via LeMat-Bulk describes a geometry-optimized Sc6Tl2PbN structure. The functional is PBE.

- calculated volume (Å³ per cell) = 248
- E_form (uncorrected) (eV per formula unit) = -1.94
- electronic total energy (eV for the cell shown) = -56.70
- M_tot (μB per atom) = 0.00
- Fermi-level density of states (states/eV/cell) = 5.60

extended XYZ file:
```
10
Lattice="5.072 0.000 0.000 0.000 5.072 0.000 0.000 0.000 9.636" Properties=species:S:1:pos:R:3 pbc="T T T"
Sc 0.000 0.000 2.042
Sc 0.000 0.000 7.594
Sc 0.000 2.536 0.000
Sc 0.000 2.536 4.818
Sc 2.536 0.000 0.000
Sc 2.536 0.000 4.818
Tl 2.536 2.536 2.287
Tl 2.536 2.536 7.348
Pb 0.000 0.000 4.818
N 0.000 0.000 0.000
```


This record from Alexandria via LeMat-Bulk describes a geometry-optimized CrAgRu2 structure. The functional is PBE.

- calculated volume (Å³ per cell) = 58
- electronic total energy (eV for the cell shown) = -29.08
- M_tot (μB per atom) = 0.12
- Fermi-level density of states (states/eV/cell) = 5.40
- energy relative to the elements (eV/atom) = 0.49

extended XYZ file:
```
4
Lattice="3.876 0.000 0.000 0.000 3.876 0.000 0.000 0.000 3.893" Properties=species:S:1:pos:R:3 pbc="T T T"
Cr 0.000 0.000 0.000
Ag 1.938 1.938 0.000
Ru 0.000 1.938 1.947
Ru 1.938 0.000 1.947
```


This record from Alexandria via LeMat-Bulk describes a geometry-optimized KPrPb2I8 structure. The functional is PBE.

- calculated volume (Å³ per cell) = 573
- E_form (uncorrected) (eV per formula unit) = -12.08
- electronic total energy (eV for the cell shown) = -37.77
- M_tot (μB per atom) = 0.00
- Fermi-level density of states (states/eV/cell) = 0.00

extended XYZ file:
```
12
Lattice="7.439 0.000 0.000 0.105 7.876 0.000 0.007 0.002 9.788" Properties=species:S:1:pos:R:3 pbc="T T T"
K 0.000 0.000 0.000
Pr 0.004 0.001 4.894
Pb 3.774 3.939 2.419
Pb 3.778 3.939 7.369
I 1.848 2.620 4.895
I 1.948 6.639 7.122
I 1.948 6.642 2.664
I 2.029 2.849 0.002
I 5.522 5.029 9.786
I 5.604 1.236 7.124
I 5.604 1.239 2.665
I 5.704 5.258 4.893
```


This record from Alexandria via LeMat-Bulk describes a geometry-optimized AlSi2SnPb structure. The functional is PBE.

- calculated volume (Å³ per cell) = 126
- E_form (uncorrected) (eV per formula unit) = 3.13
- electronic total energy (eV for the cell shown) = -19.17
- M_tot (μB per atom) = 0.00
- Fermi-level density of states (states/eV/cell) = 3.36

extended XYZ file:
```
5
Lattice="4.837 0.000 0.000 0.000 4.837 0.000 0.000 0.000 5.370" Properties=species:S:1:pos:R:3 pbc="T T T"
Al 0.000 0.000 0.000
Si 0.000 2.418 0.000
Si 2.418 0.000 0.000
Sn 0.000 0.000 2.685
Pb 2.418 2.418 2.685
```